The following is a DFT calculation (GGA-PBE) of a relaxed structure of CrMo2Rh.

The structure in CIF format:
```
data_CrMo2Rh
_symmetry_space_group_name_H-M 'P 1'
_symmetry_Int_Tables_number 1
_cell_length_a 3.2722
_cell_length_b 4.2327
_cell_length_c 4.2776
_cell_angle_alpha 90.00
_cell_angle_beta 90.00
_cell_angle_gamma 90.00
loop_
_symmetry_equiv_pos_as_xyz
'x,y,z'
loop_
_atom_site_label
_atom_site_type_symbol
_atom_site_fract_x
_atom_site_fract_y
_atom_site_fract_z
Cr1 Cr 0.0000 0.0000 0.0000
Mo1 Mo 0.0000 0.5000 0.5000
Mo2 Mo 0.5000 0.0000 0.5000
Rh1 Rh 0.5000 0.5000 0.0000
```

Computed properties:
**Calculated total energy**: -9.5625 eV per atom
**Relative energy among the computed polymorphs**: 19 meV per atom
**ΔH_f (0 K)**: 97 meV per atom
**Fermi-level density of states**: 3.9 states/eV per cell
**Size of the total moment**: 2.556 μB per formula unit